[1]
A plane-wave DFT calculation with meta-GGA SCAN was carried out for MgInNi2 at its PBEsol-relaxed geometry.

Computed properties:
* energy: -17.80 eV per atom
* calculated volume: 14.21 Å³ per atom
* formation energy from the elements: -0.123 eV per atom

```
MgInNi2
1.0
3.1160 0.0000 0.0000
0.0000 3.1160 0.0000
0.0000 0.0000 5.8548
Mg In Ni
1 1 2
Direct
0.0000 0.0000 0.0000 Mg
0.0000 0.0000 0.5000 In
0.5000 0.5000 0.2512 Ni
0.5000 0.5000 0.7488 Ni
```

***

[2]
A plane-wave DFT calculation with meta-GGA SCAN was carried out for LiAgHg at its PBEsol-relaxed geometry.

Computed properties:
* E above lowest polymorph: 0.00 kcal/mol of atoms
* energy: -34.22 eV per atom
* calculated volume: 17.25 Å³ per atom
* formation energy from the elements: -0.241 eV per atom

```
LiAgHg
1.0
3.0144 0.0000 0.0000
0.0000 3.9065 0.0000
0.0000 0.0000 8.7910
Li Ag Hg
2 2 2
Direct
0.0000 0.0000 0.0000 Li
0.5000 0.5000 0.5000 Li
0.0000 0.0000 0.6594 Ag
0.5000 0.5000 0.1594 Ag
0.0000 0.0000 0.3355 Hg
0.5000 0.5000 0.8355 Hg
```

***

> Among the records above, which one has the lowest energy?

LiAgHg

***

> Which of these has the lowest energy?

LiAgHg

***

> Look up the formation energy from the elements of the first one.

-0.123 eV per atom

***

> Which of these has the highest energy?

MgInNi2